[1]
Here is Ac2AsIr after structural relaxation from the Alexandria database. Energies are from PBE.

Properties
Density of states at the Fermi level in states/eV/atom: 0.638
Formation energy in eV/atom: -0.748

Cell: 5.3188 5.3188 3.8541 Å, 90.00 90.00 90.00°
Last column: nearest neighbours and their distance in Å.
Space group P4/mmm (No. 123)
Unique sites:
Ac 0.0000 0.5000 0.0000  4 Ir 3.28, 4 As 3.28
As 0.0000 0.0000 0.5000  8 Ac 3.28
Ir 0.5000 0.5000 0.5000  8 Ac 3.28


[2]
Here is TlTcOsO6 after structural relaxation from the Alexandria database. Energies are from PBE.

Properties
Density of states at the Fermi level in states/eV/atom: 0.646

Cell: 7.2403 7.2551 10.2580 Å, 90.00 90.00 90.00°
Last column: nearest neighbours and their distance in Å.
Space group Imma (No. 74)
Unique sites:
Tl 0.0000 0.2500 0.1017  5 O 2.91-3.19
Tc 0.0000 0.0000 0.5000  6 O 1.92-1.94
Os 0.2500 0.2500 0.7500  6 O 1.92-1.94
O 0.0000 0.2500 0.4389  2 Tc 1.92
O 0.0000 0.2500 0.8179  2 Os 1.94
O 0.1910 0.0625 0.6253  1 Os 1.92, 1 Tc 1.94


[3]
Here is YHo2Bi after structural relaxation from the Alexandria database. Energies are from PBE.

Properties
Density of states at the Fermi level in states/eV/atom: 1.231
Formation energy in eV/atom: -0.343

Cell: 4.2017 4.2017 6.7708 Å, 90.00 90.00 90.00°
Last column: nearest neighbours and their distance in Å.
Space group P4/mmm (No. 123)
Unique sites:
Y 0.0000 0.0000 0.0000  2 Bi 3.39, 8 Ho 3.45
Ho 0.5000 0.5000 0.2596  2 Ho 3.26-3.52, 4 Bi 3.39, 4 Y 3.45
Bi 0.0000 0.0000 0.5000  2 Y 3.39, 8 Ho 3.39


[4]
Here is UBH2 after structural relaxation from the Alexandria database. Energies are from PBE.

Properties
Density of states at the Fermi level in states/eV/atom: 1.061

Cell: 5.2196 5.2196 5.2196 Å, 90.00 90.00 90.00°
Last column: nearest neighbours and their distance in Å.
Space group Fm-3m (No. 225)
Unique sites:
U 0.0000 0.0000 0.0000  8 H 2.26
B 0.0000 0.0000 0.5000  8 H 2.26
H 0.2500 0.2500 0.2500  4 U 2.26, 4 B 2.26


[5]
Here is YSc2Se after structural relaxation from the Alexandria database. Energies are from PBE.

Properties
Density of states at the Fermi level in states/eV/atom: 1.176

Cell: 3.5315 5.1190 5.2106 Å, 90.00 90.00 90.00°
Last column: nearest neighbours and their distance in Å.
Space group Pmmm (No. 47)
Unique sites:
Y 0.0000 0.0000 0.0000  4 Se 3.11, 4 Sc 3.15
Sc 0.0000 0.5000 0.5000  4 Sc 3.11, 4 Se 3.15
Sc 0.5000 0.0000 0.5000  4 Sc 3.11, 4 Y 3.15
Se 0.5000 0.5000 0.0000  4 Y 3.11, 4 Sc 3.15


[6]
Here is FeCo2P after structural relaxation from the Alexandria database. Energies are from PBE.

Properties
Density of states at the Fermi level in states/eV/atom: 0.824
Formation energy in eV/atom: -0.110

Cell: 2.6872 2.6872 5.9436 Å, 90.00 90.00 90.00°
Last column: nearest neighbours and their distance in Å.
Space group P4mm (No. 99)
Unique sites:
Fe 0.0000 0.0000 0.0000  4 P 2.29, 4 Co 2.51
Co 0.0000 0.0000 0.4407  4 P 2.32, 4 Co 2.54
Co 0.5000 0.5000 0.7239  4 Fe 2.51, 8 Co 2.54-2.69
P 0.5000 0.5000 0.2157  4 Fe 2.29, 4 Co 2.32


[7]
Here is Mg2CoNi after structural relaxation from the Alexandria database. Energies are from PBE.

Properties
Density of states at the Fermi level in states/eV/atom: 0.666
Formation energy in eV/atom: 0.032

Cell: 6.0630 6.0630 6.0630 Å, 90.00 90.00 90.00°
Last column: nearest neighbours and their distance in Å.
Space group Fm-3m (No. 225)
Unique sites:
Mg 0.2500 0.2500 0.2500  4 Co 2.63, 4 Ni 2.63
Co 0.0000 0.0000 0.0000  8 Mg 2.63
Ni 0.0000 0.0000 0.5000  8 Mg 2.63


[8]
Here is MgRhF after structural relaxation from the Alexandria database. Energies are from PBE.

Properties
Density of states at the Fermi level in states/eV/atom: 0.782

Cell: 3.9245 3.0094 7.0142 Å, 90.00 90.24 90.00°
Last column: nearest neighbours and their distance in Å.
Space group P2_1/m (No. 11)
Unique sites:
Mg 0.2488 0.2500 0.3276  2 F 2.00
Rh 0.2491 0.2500 0.9468  4 Rh 2.58-2.59, 1 Mg 2.67
F 0.2500 0.7500 0.5156  2 Mg 2.00


[9]
Here is NbSeBr2F after structural relaxation from the Alexandria database. Energies are from PBE.

Properties
Density of states at the Fermi level in states/eV/atom: 0.696

Cell: 5.3355 5.3355 3.9300 Å, 90.00 90.00 90.00°
Last column: nearest neighbours and their distance in Å.
Space group P4/mmm (No. 123)
Unique sites:
Nb 0.0000 0.0000 0.0000  8 Br 3.31
Se 0.5000 0.5000 0.0000  2 F 1.96
Br 0.0000 0.5000 0.5000  2 F 2.67
F 0.5000 0.5000 0.5000  2 Se 1.96


[10]
Here is La2Pm2DyHg5 after structural relaxation from the Alexandria database. Energies are from PBE.

Properties
Density of states at the Fermi level in states/eV/atom: 0.937
Formation energy in eV/atom: -0.338

Cell: 12.1878 12.1878 4.0033 Å, 90.00 90.00 90.00°
Last column: nearest neighbours and their distance in Å.
Space group P4/mbm (No. 127)
Unique sites:
La 0.1647 0.3353 0.0000  3 Pm 3.38-3.72, 6 Hg 3.40-3.47
Pm 0.1393 0.6393 0.0000  6 Hg 3.13-3.19, 1 La 3.38
Dy 0.0000 0.0000 0.0000  8 Hg 3.10
Hg 0.0000 0.5000 0.5000  4 Pm 3.13, 4 La 3.47
Hg 0.1101 0.8405 0.5000  2 Dy 3.10, 2 Pm 3.19, 2 Hg 3.34, 2 La 3.40


[11]
Here is NaGePbC2 after structural relaxation from the Alexandria database. Energies are from PBE.

Properties
Density of states at the Fermi level in states/eV/atom: 0.702
Formation energy in eV/atom: 2.515

Cell: 4.4736 4.4736 4.9315 Å, 90.00 90.00 90.00°
Last column: nearest neighbours and their distance in Å.
Space group P4/mmm (No. 123)
Unique sites:
Na 0.0000 0.0000 0.0000  4 C 2.24, 2 Ge 2.47
Ge 0.0000 0.0000 0.5000  2 Na 2.47
Pb 0.5000 0.5000 0.5000  4 Ge 3.16, 8 C 3.33
C 0.0000 0.5000 0.0000  2 Na 2.24


[12]
Here is CaCu2N after structural relaxation from the Alexandria database. Energies are from PBE.

Properties
Density of states at the Fermi level in states/eV/atom: 1.190

Cell: 5.8971 5.8971 8.6089 Å, 90.00 90.00 90.00°
Last column: nearest neighbours and their distance in Å.
Space group I4_1/amd (No. 141, origin choice 2)
Unique sites:
Ca 0.0000 0.2500 0.3750  12 Cu 3.47-3.55, 4 Ca 3.65, 4 N 3.65
Cu 0.0000 0.0000 0.0000  2 N 1.83
N 0.0000 0.2500 0.8750  4 Cu 1.83


Number 1: energy -24.72 eV/f.u., spin magnetization 0.0 μB/f.u., V 109.0 Å³/cell. Number 2: energy -63.59 eV/f.u., spin magnetization 1.1 μB/f.u., V 538.8 Å³/cell. Number 3: energy -20.87 eV/f.u., spin magnetization 0.0 μB/f.u., V 119.5 Å³/cell. Number 4: energy -24.89 eV/f.u., spin magnetization 0.9 μB/f.u., V 142.2 Å³/cell. Number 5: energy -24.31 eV/f.u., spin magnetization 0.4 μB/f.u., V 94.2 Å³/cell. Number 6: energy -28.52 eV/f.u., spin magnetization 3.5 μB/f.u., V 42.9 Å³/cell. Number 7: energy -15.95 eV/f.u., spin magnetization 0.2 μB/f.u., V 222.9 Å³/cell. Number 8: energy -15.65 eV/f.u., spin magnetization 0.0 μB/f.u., V 82.8 Å³/cell. Number 9: energy -16.89 eV/f.u., spin magnetization 2.1 μB/f.u., V 111.9 Å³/cell. Number 10: energy -28.84 eV/f.u., spin magnetization 0.0 μB/f.u., V 594.7 Å³/cell. Number 11: energy -15.52 eV/f.u., spin magnetization 0.0 μB/f.u., V 98.7 Å³/cell. Number 12: energy -17.95 eV/f.u., spin magnetization 0.0 μB/f.u., V 299.4 Å³/cell.